DyTmInRh: optimized geometry, PBE.

extended XYZ file:
```
4
Lattice="3.503 0.000 0.000 0.000 3.503 0.000 0.000 0.000 7.491" Properties=species:S:1:pos:R:3 pbc="T T T"
Dy 0.000 0.000 0.000
Tm 0.000 0.000 4.243
In 1.752 1.752 2.153
Rh 1.752 1.752 5.806
```

Computed properties:
**E_tot**: -5.492 eV/atom
**Polymorph energy (0 for the lowest one)**: 0 meV per atom
**DOS at the Fermi energy**: 1.41 states/eV/cell
**Calculated formation energy**: -701 meV/atom

=====

Dy2Zn2InRh5: optimized geometry, PBE.

extended XYZ file:
```
20
Lattice="9.671 0.000 0.000 0.000 9.671 0.000 0.000 0.000 3.690" Properties=species:S:1:pos:R:3 pbc="T T T"
Dy 1.683 3.152 0.000
Dy 3.152 7.988 0.000
Dy 6.519 1.683 0.000
Dy 7.988 6.519 0.000
Zn 1.194 6.030 0.000
Zn 3.642 1.194 0.000
Zn 6.030 8.478 0.000
Zn 8.478 3.642 0.000
In 0.000 0.000 0.000
In 4.836 4.836 0.000
Rh 0.000 4.836 1.845
Rh 0.680 7.677 1.845
Rh 1.995 0.680 1.845
Rh 2.841 5.516 1.845
Rh 4.156 2.841 1.845
Rh 4.836 0.000 1.845
Rh 5.516 6.830 1.845
Rh 6.830 4.156 1.845
Rh 7.677 8.991 1.845
Rh 8.991 1.995 1.845
```

Computed properties:
**E_tot**: -5.738 eV/atom
**DOS at the Fermi energy**: 11.22 states/eV/cell
**Calculated formation energy**: -613 meV/atom

=====

Dy4InRu2: optimized geometry, PBE.

extended XYZ file:
```
14
Lattice="6.954 0.000 0.000 0.204 7.045 0.000 3.381 0.028 7.050" Properties=species:S:1:pos:R:3 pbc="T T T"
Dy 0.000 0.000 0.000
Dy 3.179 3.805 6.389
Dy 3.489 6.585 3.075
Dy 3.400 3.304 2.900
Dy 6.681 3.340 6.661
Dy 7.021 6.650 6.758
Dy 6.928 6.368 3.220
Dy 6.868 3.085 2.692
In 5.042 1.511 4.779
In 8.535 1.485 4.927
Ru 1.695 5.000 1.264
Ru 5.152 4.927 4.759
Ru 5.011 1.430 1.394
Ru 5.193 5.000 1.354
```

Computed properties:
**E_tot**: -5.997 eV/atom
**DOS at the Fermi energy**: 7.92 states/eV/cell
**Calculated formation energy**: -326 meV/atom

=====

DyIn3Ru: optimized geometry, PBE.

extended XYZ file:
```
15
Lattice="6.870 0.000 0.000 0.000 6.870 0.000 0.000 0.000 6.870" Properties=species:S:1:pos:R:3 pbc="T T T"
Dy 0.000 0.000 3.435
Dy 0.000 3.435 0.000
Dy 3.435 0.000 0.000
In 0.000 0.000 0.000
In 1.927 1.927 1.927
In 1.927 1.927 4.943
In 1.927 4.943 1.927
In 1.927 4.943 4.943
In 4.943 1.927 1.927
In 4.943 1.927 4.943
In 4.943 4.943 1.927
In 4.943 4.943 4.943
Ru 0.000 3.435 3.435
Ru 3.435 0.000 3.435
Ru 3.435 3.435 0.000
```

Computed properties:
**E_tot**: -4.729 eV/atom
**DOS at the Fermi energy**: 3.96 states/eV/cell
**Calculated formation energy**: -310 meV/atom

=====

Dy6In3Ru: optimized geometry, PBE.

extended XYZ file:
```
20
Lattice="9.035 0.000 0.000 0.000 11.574 0.000 0.000 0.000 5.192" Properties=species:S:1:pos:R:3 pbc="T T T"
Dy 0.107 2.732 0.000
Dy 1.395 0.950 2.596
Dy 1.730 4.797 2.596
Dy 2.788 10.584 0.000
Dy 3.122 6.737 0.000
Dy 4.410 8.519 2.596
Dy 4.624 3.055 2.596
Dy 5.912 4.837 0.000
Dy 6.247 0.990 0.000
Dy 7.305 6.777 2.596
Dy 7.640 10.624 2.596
Dy 8.928 8.842 0.000
In 0.000 5.787 0.000
In 1.395 8.400 2.596
In 3.122 2.613 0.000
In 4.517 0.000 2.596
In 5.913 8.961 0.000
In 7.639 3.174 2.596
Ru 0.000 0.000 0.000
Ru 4.517 5.787 2.596
```

Computed properties:
**E_tot**: -4.845 eV/atom
**Polymorph energy (0 for the lowest one)**: 36 meV per atom
**DOS at the Fermi energy**: 13.20 states/eV/cell
**Calculated formation energy**: -335 meV/atom

=====

Dy8InRu2: optimized geometry, PBE.

extended XYZ file:
```
11
Lattice="8.704 -2.650 0.000 8.704 2.650 0.000 -2.729 0.000 6.333" Properties=species:S:1:pos:R:3 pbc="T T T"
Dy 0.000 0.000 0.000
Dy 1.503 0.000 3.370
Dy 3.384 0.000 0.703
Dy 5.124 0.000 3.950
Dy 7.990 0.000 1.679
Dy 8.293 0.000 5.321
Dy 11.847 0.000 4.364
Dy 13.935 0.000 1.232
In -1.534 0.000 3.578
Ru 3.196 0.000 5.846
Ru 10.980 0.000 1.693
```

Computed properties:
**E_tot**: -5.523 eV/atom
**Polymorph energy (0 for the lowest one)**: 7 meV per atom
**DOS at the Fermi energy**: 10.01 states/eV/cell
**Calculated formation energy**: -241 meV/atom

=====

Dy2In2Ru: optimized geometry, PBE.

extended XYZ file:
```
10
Lattice="3.404 0.000 0.000 0.000 3.404 0.000 0.000 0.000 20.562" Properties=species:S:1:pos:R:3 pbc="T T T"
Dy 0.000 0.000 1.671
Dy 0.000 0.000 18.891
Dy 1.702 1.702 8.610
Dy 1.702 1.702 11.952
In 0.000 0.000 6.193
In 0.000 0.000 14.369
In 1.702 1.702 4.088
In 1.702 1.702 16.475
Ru 0.000 0.000 10.281
Ru 1.702 1.702 0.000
```

Computed properties:
**E_tot**: -5.161 eV/atom
**DOS at the Fermi energy**: 1.74 states/eV/cell
**Calculated formation energy**: -369 meV/atom

=====

Dy6InRu: optimized geometry, PBE.

extended XYZ file:
```
16
Lattice="5.020 0.000 0.000 0.000 5.020 0.000 0.000 0.000 17.462" Properties=species:S:1:pos:R:3 pbc="T T T"
Dy 0.000 0.000 4.326
Dy 0.000 0.000 13.136
Dy 0.000 2.510 1.794
Dy 0.000 2.510 6.937
Dy 0.000 2.510 10.525
Dy 0.000 2.510 15.668
Dy 2.510 0.000 1.794
Dy 2.510 0.000 6.937
Dy 2.510 0.000 10.525
Dy 2.510 0.000 15.668
Dy 2.510 2.510 4.405
Dy 2.510 2.510 13.057
In 0.000 0.000 0.000
In 2.510 2.510 8.731
Ru 0.000 0.000 8.731
Ru 2.510 2.510 0.000
```

Computed properties:
**E_tot**: -5.089 eV/atom
**Polymorph energy (0 for the lowest one)**: 0 meV per atom
**DOS at the Fermi energy**: 15.92 states/eV/cell
**Calculated formation energy**: -135 meV/atom

=====

Dy5InRu2: optimized geometry, PBE.

extended XYZ file:
```
16
Lattice="-3.869 3.869 6.797 3.869 -3.869 6.797 3.869 3.869 -6.797" Properties=species:S:1:pos:R:3 pbc="T T T"
Dy 0.000 0.000 0.000
Dy 5.100 1.231 -1.796
Dy 1.231 2.638 -1.796
Dy 5.100 1.231 1.796
Dy 1.231 2.638 1.796
Dy 0.000 0.000 6.797
Dy 2.638 1.231 5.000
Dy -1.231 2.638 5.000
Dy 2.638 1.231 8.593
Dy -1.231 2.638 8.593
In 0.000 0.000 3.398
In 0.000 0.000 10.195
Ru 2.765 1.104 0.000
Ru 2.765 -1.104 6.797
Ru 1.104 4.973 0.000
Ru 1.104 2.765 6.797
```

Computed properties:
**E_tot**: -5.943 eV/atom
**DOS at the Fermi energy**: 12.09 states/eV/cell
**Calculated formation energy**: -405 meV/atom

=====

Dy7In2Ru2: optimized geometry, PBE.

extended XYZ file:
```
11
Lattice="4.019 -5.469 0.000 4.019 5.469 0.000 0.000 0.000 7.105" Properties=species:S:1:pos:R:3 pbc="T T T"
Dy 0.000 0.000 0.000
Dy 2.010 2.735 1.776
Dy 2.010 2.735 5.330
Dy 2.010 -2.735 1.776
Dy 2.010 -2.735 5.330
Dy 4.019 0.000 1.719
Dy 4.019 0.000 5.386
In 1.418 0.000 3.553
In 6.621 0.000 3.553
Ru 4.019 2.250 0.000
Ru 4.019 -2.250 0.000
```

Computed properties:
**E_tot**: -5.376 eV/atom
**DOS at the Fermi energy**: 7.87 states/eV/cell
**Calculated formation energy**: -263 meV/atom

=====

Dy3InRu2: optimized geometry, PBE.

extended XYZ file:
```
6
Lattice="3.437 0.000 0.000 0.000 3.437 0.000 0.000 0.000 11.250" Properties=species:S:1:pos:R:3 pbc="T T T"
Dy 0.000 0.000 0.000
Dy 0.000 0.000 3.333
Dy 0.000 0.000 7.917
In 1.719 1.719 5.625
Ru 1.719 1.719 1.741
Ru 1.719 1.719 9.508
```

Computed properties:
**E_tot**: -6.284 eV/atom
**DOS at the Fermi energy**: 3.34 states/eV/cell
**Calculated formation energy**: -434 meV/atom

=====

Dy6In3Ru: optimized geometry, PBE.

extended XYZ file:
```
20
Lattice="9.246 0.000 0.000 0.000 5.270 0.000 -3.446 0.000 10.802" Properties=species:S:1:pos:R:3 pbc="T T T"
Dy -1.034 1.318 4.497
Dy 1.214 3.953 1.808
Dy 2.610 1.318 0.044
Dy 0.380 3.953 8.961
Dy 2.290 1.318 3.724
Dy 1.407 1.318 7.003
Dy 4.393 3.953 3.799
Dy 3.510 3.953 7.078
Dy 5.419 1.318 1.841
Dy 3.189 3.953 10.758
Dy 4.586 1.318 8.993
Dy 6.833 3.953 6.305
In -2.932 3.953 9.507
In -1.623 1.318 7.772
In 0.894 3.953 5.148
In 4.906 1.318 5.654
In 7.422 3.953 3.030
In 8.731 1.318 1.295
Ru 3.951 3.953 1.012
Ru 1.849 1.318 9.790
```

Computed properties:
**E_tot**: -4.882 eV/atom
**Polymorph energy (0 for the lowest one)**: 0 meV per atom
**DOS at the Fermi energy**: 15.68 states/eV/cell
**Calculated formation energy**: -371 meV/atom

=====

Dy5In4Ru: optimized geometry, PBE.

extended XYZ file:
```
10
Lattice="3.448 0.000 0.000 0.000 3.448 0.000 0.000 0.000 21.204" Properties=species:S:1:pos:R:3 pbc="T T T"
Dy 0.000 0.000 0.000
Dy 0.000 0.000 4.392
Dy 0.000 0.000 8.953
Dy 0.000 0.000 12.251
Dy 0.000 0.000 16.812
In 1.724 1.724 2.195
In 1.724 1.724 6.601
In 1.724 1.724 14.604
In 1.724 1.724 19.009
Ru 1.724 1.724 10.602
```

Computed properties:
**E_tot**: -4.799 eV/atom
**DOS at the Fermi energy**: 4.93 states/eV/cell
**Calculated formation energy**: -475 meV/atom

=====

Dy3In2Ru: optimized geometry, PBE.

extended XYZ file:
```
12
Lattice="3.905 -5.258 0.000 3.905 5.258 0.000 -1.260 0.000 7.894" Properties=species:S:1:pos:R:3 pbc="T T T"
Dy 0.773 1.886 6.115
Dy 1.095 0.000 1.294
Dy 0.773 -1.886 6.115
Dy 5.778 1.886 1.779
Dy 5.456 0.000 6.600
Dy 5.778 -1.886 1.779
In -0.630 0.000 3.947
In 3.275 1.437 3.947
In 3.905 0.000 0.000
In 3.275 -1.437 3.947
Ru 3.905 2.941 0.000
Ru 3.905 -2.941 0.000
```

Computed properties:
**E_tot**: -5.051 eV/atom
**Polymorph energy (0 for the lowest one)**: 156 meV per atom
**DOS at the Fermi energy**: 6.28 states/eV/cell
**Calculated formation energy**: -291 meV/atom

=====

Dy3In2Ru: optimized geometry, PBE.

extended XYZ file:
```
12
Lattice="2.543 -7.602 0.000 2.543 7.602 0.000 0.000 0.000 7.511" Properties=species:S:1:pos:R:3 pbc="T T T"
Dy 0.000 0.000 1.763
Dy 0.000 0.000 5.748
Dy 2.543 2.663 1.663
Dy 2.543 2.663 5.848
Dy 2.543 -2.663 1.663
Dy 2.543 -2.663 5.848
In 2.543 5.092 3.755
In 2.543 0.000 0.000
In 2.543 0.000 3.755
In 2.543 -5.092 3.755
Ru 2.543 5.164 0.000
Ru 2.543 -5.164 0.000
```

Computed properties:
**E_tot**: -5.207 eV/atom
**Polymorph energy (0 for the lowest one)**: 0 meV per atom
**DOS at the Fermi energy**: 7.21 states/eV/cell
**Calculated formation energy**: -447 meV/atom

=====

Dy4InRu3: optimized geometry, PBE.

extended XYZ file:
```
8
Lattice="4.877 0.000 0.000 0.000 4.877 0.000 0.000 0.000 7.153" Properties=species:S:1:pos:R:3 pbc="T T T"
Dy 0.000 2.439 1.664
Dy 0.000 2.439 5.490
Dy 2.439 0.000 1.664
Dy 2.439 0.000 5.490
In 0.000 0.000 3.577
Ru 0.000 0.000 0.000
Ru 2.439 2.439 0.000
Ru 2.439 2.439 3.577
```

Computed properties:
**E_tot**: -6.478 eV/atom
**DOS at the Fermi energy**: 4.01 states/eV/cell
**Calculated formation energy**: -357 meV/atom

=====

Dy12InRu6: optimized geometry, PBE.

extended XYZ file:
```
19
Lattice="-4.916 4.916 4.916 4.916 -4.916 4.916 4.916 4.916 -4.916" Properties=species:S:1:pos:R:3 pbc="T T T"
Dy 4.916 3.002 -2.006
Dy 2.910 0.000 1.914
Dy 6.922 0.000 1.914
Dy 1.914 2.910 0.000
Dy 3.002 -2.006 4.916
Dy 0.000 1.914 2.910
Dy 4.916 3.002 2.006
Dy 1.914 6.922 0.000
Dy 3.002 2.006 4.916
Dy -2.006 4.916 3.002
Dy 2.006 4.916 3.002
Dy 0.000 1.914 6.922
In 0.000 0.000 0.000
Ru 4.916 1.222 0.000
Ru 4.916 0.000 3.694
Ru 3.694 4.916 0.000
Ru 1.222 0.000 4.916
Ru 0.000 4.916 1.222
Ru 0.000 3.694 4.916
```

Computed properties:
**E_tot**: -6.280 eV/atom
**DOS at the Fermi energy**: 19.75 states/eV/cell
**Calculated formation energy**: -300 meV/atom

=====

DyInRu: optimized geometry, PBE.

extended XYZ file:
```
18
Lattice="7.300 0.000 0.000 0.000 4.098 0.000 -0.374 0.000 12.823" Properties=species:S:1:pos:R:3 pbc="T T T"
Dy 0.246 1.024 1.526
Dy 0.971 1.024 5.330
Dy 3.038 3.073 10.081
Dy 3.888 1.024 2.742
Dy 5.956 3.073 7.493
Dy 6.680 3.073 11.297
In 0.634 1.024 8.999
In 2.590 3.073 0.523
In 3.460 3.073 5.247
In 3.466 1.024 7.576
In 4.336 1.024 12.300
In 6.293 3.073 3.825
Ru 1.682 3.073 3.151
Ru 1.477 1.024 11.638
Ru 1.612 3.073 7.396
Ru 5.315 1.024 5.427
Ru 5.450 3.073 1.185
Ru 5.244 1.024 9.672
```

Computed properties:
**E_tot**: -5.902 eV/atom
**DOS at the Fermi energy**: 9.89 states/eV/cell
**Calculated formation energy**: -364 meV/atom

=====

Dy5InRu4: optimized geometry, PBE.

extended XYZ file:
```
10
Lattice="3.423 0.000 0.000 0.000 3.423 0.000 0.000 0.000 18.037" Properties=species:S:1:pos:R:3 pbc="T T T"
Dy 0.000 0.000 0.000
Dy 0.000 0.000 3.362
Dy 0.000 0.000 6.718
Dy 0.000 0.000 11.319
Dy 0.000 0.000 14.675
In 1.711 1.711 9.018
Ru 1.711 1.711 1.705
Ru 1.711 1.711 5.149
Ru 1.711 1.711 12.888
Ru 1.711 1.711 16.332
```

Computed properties:
**E_tot**: -6.674 eV/atom
**DOS at the Fermi energy**: 6.56 states/eV/cell
**Calculated formation energy**: -389 meV/atom

=====

Dy4In3Ru: optimized geometry, PBE.

extended XYZ file:
```
8
Lattice="3.530 0.000 0.000 0.000 3.530 0.000 0.000 0.000 15.916" Properties=species:S:1:pos:R:3 pbc="T T T"
Dy 0.000 0.000 1.621
Dy 0.000 0.000 5.854
Dy 0.000 0.000 10.062
Dy 0.000 0.000 14.295
In 1.765 1.765 3.784
In 1.765 1.765 7.958
In 1.765 1.765 12.132
Ru 1.765 1.765 0.000
```

Computed properties:
**E_tot**: -4.958 eV/atom
**DOS at the Fermi energy**: 3.66 states/eV/cell
**Calculated formation energy**: -470 meV/atom